1.
A geometry-optimized KTl2W2 structure. Source: the Alexandria database, functional PBE-GGA.

Cell: 8.941 8.941 2.883 Å, 90.00 90.00 90.00°
Sites, in units of the cell vectors:
1 Tl 0.189 0.689 0.500
2 Tl 0.689 0.811 0.500
3 Tl 0.811 0.311 0.500
4 Tl 0.311 0.189 0.500
5 K 0.000 0.000 0.000
6 K 0.500 0.500 0.000
7 W 0.401 0.901 0.000
8 W 0.901 0.599 0.000
9 W 0.599 0.099 0.000
10 W 0.099 0.401 0.000

Symmetry: P4/mbm (127)
Energy of formation (eV per atom): 0.880
Excess energy over the best structure of this formula in the dataset (meV/atom): 0

***

2.
A geometry-optimized KTlW2 structure. Source: the Alexandria database, functional PBE-GGA.

Cell: 2.869 4.929 7.328 Å, 90.00 90.00 90.00°
Sites, in units of the cell vectors:
1 K 0.500 0.500 0.250
2 Tl 0.500 0.500 0.750
3 W 0.000 0.000 0.909
4 W 0.000 0.000 0.591

Symmetry: Pmmm (47)
Energy of formation (eV per atom): 1.384
Excess energy over the best structure of this formula in the dataset (meV/atom): 638

***

3.
A geometry-optimized KTlW2 structure. Source: the Alexandria database, functional PBE-GGA.

Cell: 4.597 4.597 10.948 Å, 77.88 77.88 90.00°
Sites, in units of the cell vectors:
1 Tl 0.000 0.000 0.000
2 Tl 0.750 0.250 0.500
3 K 0.500 0.500 0.000
4 K 0.250 0.750 0.500
5 W 0.966 0.125 0.250
6 W 0.784 0.625 0.250
7 W 0.375 0.034 0.750
8 W 0.875 0.216 0.750

Symmetry: I-42d (122)
Energy of formation (eV per atom): 1.720
Excess energy over the best structure of this formula in the dataset (meV/atom): 974

***

4.
A geometry-optimized KTlW3 structure. Source: the Alexandria database, functional PBE-GGA.

Cell: 4.640 4.640 4.640 Å, 90.00 90.00 90.00°
Sites, in units of the cell vectors:
1 Tl 0.500 0.500 0.500
2 K 0.000 0.000 0.000
3 W 0.000 0.500 0.000
4 W 0.000 0.000 0.500
5 W 0.500 0.000 0.000

Symmetry: Pm-3m (221)
Energy of formation (eV per atom): 3.651
Excess energy over the best structure of this formula in the dataset (meV/atom): 417

***

5.
A geometry-optimized KTl2W2 structure. Source: the Alexandria database, functional PBE-GGA.

Cell: 5.473 5.473 5.837 Å, 62.04 62.04 90.00°
Sites, in units of the cell vectors:
1 Tl 0.750 0.250 0.500
2 Tl 0.250 0.750 0.500
3 K 0.000 0.000 0.000
4 W 0.371 0.371 0.258
5 W 0.629 0.629 0.742

Symmetry: I4/mmm (139)
Energy of formation (eV per atom): 1.133
Excess energy over the best structure of this formula in the dataset (meV/atom): 253

***

6.
A geometry-optimized KTl3W structure. Source: the Alexandria database, functional PBE-GGA.

Cell: 5.444 5.444 5.444 Å, 90.00 90.00 90.00°
Sites, in units of the cell vectors:
1 Tl 0.000 0.500 0.000
2 Tl 0.000 0.000 0.500
3 Tl 0.500 0.000 0.000
4 K 0.500 0.500 0.500
5 W 0.000 0.000 0.000

Symmetry: Pm-3m (221)
Energy of formation (eV per atom): 0.435
Excess energy over the best structure of this formula in the dataset (meV/atom): 0

***

7.
A geometry-optimized KTlW2 structure. Source: the Alexandria database, functional PBE-GGA.

Cell: 4.872 4.872 4.872 Å, 60.00 60.00 60.00°
Last column: magnetic moment on the atom in μB.
Sites, in units of the cell vectors:
1 Tl 0.500 0.500 0.500  -0.02
2 K 0.000 0.000 0.000  0.06
3 W 0.250 0.250 0.250  0.81
4 W 0.750 0.750 0.750  0.81

Symmetry: Fm-3m (225)
Energy of formation (eV per atom): 2.280
Excess energy over the best structure of this formula in the dataset (meV/atom): 1534

***

8.
A geometry-optimized KTlW2 structure. Source: the Alexandria database, functional PBE-GGA.

Cell: 2.893 2.893 11.228 Å, 90.00 90.00 115.50°
Sites, in units of the cell vectors:
1 K 0.500 0.500 0.250
2 Tl 0.500 0.500 0.750
3 W 0.000 0.000 0.973
4 W 0.000 0.000 0.527

Symmetry: Cmmm (65)
Energy of formation (eV per atom): 1.368
Excess energy over the best structure of this formula in the dataset (meV/atom): 622

***

9.
A geometry-optimized KTlW2 structure. Source: the Alexandria database, functional PBE-GGA.

Cell: 6.095 6.095 2.773 Å, 90.00 90.00 123.72°
Sites, in units of the cell vectors:
1 K 0.500 0.000 0.500
2 Tl 0.000 0.500 0.500
3 W 0.000 0.000 0.000
4 W 0.500 0.500 0.000

Symmetry: Cmmm (65)
Energy of formation (eV per atom): 1.658
Excess energy over the best structure of this formula in the dataset (meV/atom): 912

***

10.
A geometry-optimized KTlW2 structure. Source: the Alexandria database, functional PBE-GGA.

Cell: 2.824 5.298 5.657 Å, 90.00 90.00 90.00°
Last column: magnetic moment on the atom in μB.
Sites, in units of the cell vectors:
1 K 0.500 0.000 0.500  0.02
2 Tl 0.000 0.500 0.500  0.00
3 W 0.000 0.000 0.000  0.42
4 W 0.500 0.500 0.000  -0.03

Symmetry: Pmmm (47)
Energy of formation (eV per atom): 1.529
Excess energy over the best structure of this formula in the dataset (meV/atom): 783

***

11.
A geometry-optimized KTlW2 structure. Source: the Alexandria database, functional PBE-GGA.

Cell: 4.525 4.525 8.091 Å, 84.98 84.98 39.17°
Sites, in units of the cell vectors:
1 K 0.500 0.500 0.515
2 Tl 0.262 0.262 0.184
3 W 0.009 0.009 0.962
4 W 0.729 0.729 0.839

Symmetry: Cm (8)
Energy of formation (eV per atom): 1.023
Excess energy over the best structure of this formula in the dataset (meV/atom): 277

***

12.
A geometry-optimized K3TlW structure. Source: the Alexandria database, functional PBE-GGA.

Cell: 6.680 6.680 6.680 Å, 90.00 90.00 90.00°
Last column: magnetic moment on the atom in μB.
Sites, in units of the cell vectors:
1 Tl 0.500 0.500 0.500  -0.01
2 K 0.000 0.500 0.000  0.03
3 K 0.000 0.000 0.500  0.03
4 K 0.500 0.000 0.000  0.04
5 W 0.000 0.000 0.000  3.44

Symmetry: Pm-3m (221)
Energy of formation (eV per atom): 1.412
Excess energy over the best structure of this formula in the dataset (meV/atom): 0

***

13.
A geometry-optimized KTlW structure. Source: the Alexandria database, functional PBE-GGA.

Cell: 8.678 8.595 2.934 Å, 81.84 78.61 19.55°
Sites, in units of the cell vectors:
1 K 0.000 0.000 0.000
2 Tl 0.322 0.322 0.678
3 W 0.678 0.678 0.322

Symmetry: Fmm2 (42)
Energy of formation (eV per atom): 1.075
Excess energy over the best structure of this formula in the dataset (meV/atom): 0

***

14.
A geometry-optimized KTlW structure. Source: the Alexandria database, functional PBE-GGA.

Cell: 5.448 5.448 2.890 Å, 90.00 90.00 120.00°
Last column: magnetic moment on the atom in μB.
Sites, in units of the cell vectors:
1 K 0.000 0.000 0.000  0.03
2 Tl 0.667 0.333 0.502  -0.02
3 W 0.333 0.667 0.498  1.16

Symmetry: P3m1 (156)
Energy of formation (eV per atom): 1.425
Excess energy over the best structure of this formula in the dataset (meV/atom): 350

***

15.
A geometry-optimized KTlW2 structure. Source: the Alexandria database, functional PBE-GGA.

Cell: 5.585 2.867 5.319 Å, 88.78 90.00 90.00°
Sites, in units of the cell vectors:
1 K 0.500 0.250 0.250
2 Tl 0.500 0.750 0.750
3 W 0.000 0.889 0.010
4 W 0.000 0.611 0.490

Symmetry: P2/m (10)
Energy of formation (eV per atom): 1.454
Excess energy over the best structure of this formula in the dataset (meV/atom): 708

***

16.
A geometry-optimized KTlW structure. Source: the Alexandria database, functional PBE-GGA.

Cell: 8.583 8.583 8.583 Å, 160.37 160.37 27.90°
Sites, in units of the cell vectors:
1 K 0.000 0.000 0.000
2 Tl 0.321 0.321 0.000
3 W 0.679 0.679 0.000

Symmetry: I4mm (107)
Energy of formation (eV per atom): 1.081
Excess energy over the best structure of this formula in the dataset (meV/atom): 6

***

17.
A geometry-optimized KTlW2 structure. Source: the Alexandria database, functional PBE-GGA.

Cell: 5.935 5.935 5.935 Å, 140.09 140.09 57.72°
Sites, in units of the cell vectors:
1 K 0.250 0.750 0.500
2 Tl 0.750 0.250 0.500
3 W 0.000 0.000 0.000
4 W 0.500 0.500 0.000

Symmetry: I4/mmm (139)
Energy of formation (eV per atom): 1.725
Excess energy over the best structure of this formula in the dataset (meV/atom): 979

***

18.
A geometry-optimized KTlW2 structure. Source: the Alexandria database, functional PBE-GGA.

Cell: 11.301 11.301 11.301 Å, 15.06 15.06 15.06°
Sites, in units of the cell vectors:
1 K 0.250 0.250 0.250
2 Tl 0.750 0.750 0.750
3 W 0.010 0.010 0.010
4 W 0.490 0.490 0.490

Symmetry: R-3m (166)
Energy of formation (eV per atom): 1.401
Excess energy over the best structure of this formula in the dataset (meV/atom): 655

***

19.
A geometry-optimized KTlW structure. Source: the Alexandria database, functional PBE-GGA.

Cell: 6.883 6.883 6.883 Å, 147.41 147.41 46.76°
Last column: magnetic moment on the atom in μB.
Sites, in units of the cell vectors:
1 K 0.001 0.001 0.000  0.01
2 Tl 0.270 0.270 0.000  -0.04
3 W 0.729 0.729 0.000  1.55

Symmetry: I4mm (107)
Energy of formation (eV per atom): 1.344
Excess energy over the best structure of this formula in the dataset (meV/atom): 269

***

20.
A geometry-optimized KTlW2 structure. Source: the Alexandria database, functional PBE-GGA.

Cell: 4.039 4.039 5.211 Å, 90.00 90.00 90.00°
Sites, in units of the cell vectors:
1 K 0.500 0.000 0.500
2 Tl 0.000 0.500 0.500
3 W 0.000 0.000 0.000
4 W 0.500 0.500 0.000

Symmetry: P4/mmm (123)
Energy of formation (eV per atom): 1.713
Excess energy over the best structure of this formula in the dataset (meV/atom): 967

***

Results for D(E_F): 3.8, 2.7, 3.7, 6.6, 4.7, 2.4, 5.0, 2.8, 4.0, 3.4, 3.8, 4.8, 0.9, 2.9, 4.1, 1.5, 3.7, 5.8, 1.2, 2.0 (in states/eV/f.u., following the order of the records).